[1]
SnGe3Au | meta-GGA SCAN | single point on PBEsol structure

Unit cell a=5.140 b=5.140 c=5.140 alpha=90.00 beta=90.00 gamma=90.00
Space group Pm-3m (No. 221)
Symmetry-distinct sites (fractional):
Sn (0.000, 0.000, 0.000) [1 per cell]
Ge (0.000, 0.000, 0.500) [3 per cell]
Au (0.500, 0.500, 0.500) [1 per cell]

Properties
VASP energy = -31.287 eV per atom
Magnetization = 0.000 μB per formula unit
DOS(E_F) = 0.574 states/eV per atom

=====

[2]
SnGe2TeAu | meta-GGA SCAN | single point on PBEsol structure

Unit cell a=4.889 b=4.889 c=5.656 alpha=90.00 beta=90.00 gamma=90.00
Space group P4/mmm (No. 123)
Symmetry-distinct sites (fractional):
Sn (0.000, 0.000, 0.000) [1 per cell]
Ge (0.000, 0.500, 0.500) [2 per cell]
Te (0.500, 0.500, 0.000) [1 per cell]
Au (0.500, 0.500, 0.500) [1 per cell]

Properties
Magnetization = 0.000 μB per formula unit
DOS(E_F) = 0.490 states/eV per atom
Raw formation energy = 474 meV per atom

=====

DOS(E_F) of number 2 (SnGe2TeAu)? 0.490 states/eV per atom

=====

The highest DOS(E_F) belongs to which entry? SnGe3Au

=====

What is the formula in the second record? SnGe2TeAu